Entry 1:
This record from the Alexandria database describes LaPmGa6 after structural relaxation. The functional is PBE.

Properties
* energy relative to the elements: -0.59 eV/atom
* size of the total moment: 0.000 μB/cell

```
LaPmGa6
1.0
-4.5351 -0.0903 0.8364
-1.1560 -0.8118 -6.3560
0.8131 -5.1888 3.8484
Pm Ga La
1 6 1
Cartesian
0.6489 -4.8239 2.9978 Pm
-2.7167 -0.9772 -2.1181 Ga
0.0831 -5.5165 -0.1451 Ga
-0.3859 -2.5237 -2.3649 Ga
0.2809 -2.0556 1.3012 Ga
-3.2131 -1.3248 -4.8471 Ga
-2.8639 -3.5520 -3.1942 Ga
-2.2748 -3.4106 0.0156 La
```

---

Entry 2:
This record from the Alexandria database describes La2Pm2Ga after structural relaxation. The functional is PBE.

Properties
* energy relative to the elements: -0.13 eV/atom
* size of the total moment: 0.000 μB/cell

```
La2Pm2Ga
1.0
3.6968 0.0000 0.9925
1.2844 6.3494 2.5971
0.1100 -0.3098 6.9715
Pm La Ga
2 2 1
Cartesian
3.7786 4.6341 8.0690 Pm
1.3126 1.4055 2.4920 Pm
2.7709 4.2972 4.4414 La
2.3203 1.7424 6.1196 La
0.0000 0.0000 0.0000 Ga
```

---

Entry 3:
This record from the Alexandria database describes La3Pm4Ga after structural relaxation. The functional is PBE.

Properties
* energy relative to the elements: -0.12 eV/atom
* size of the total moment: 0.000 μB/cell

```
La3Pm4Ga
1.0
3.6827 0.0000 0.0000
0.0000 3.6827 0.0000
0.0000 0.0000 19.4311
Pm La Ga
4 3 1
Cartesian
0.0000 0.0000 17.6035 Pm
0.0000 0.0000 7.1028 Pm
0.0000 0.0000 1.8276 Pm
0.0000 0.0000 12.3282 Pm
1.8413 1.8413 14.9645 La
1.8413 1.8413 9.7155 La
1.8413 1.8413 4.4666 La
1.8413 1.8413 0.0000 Ga
```

---

Entry 4:
This record from the Alexandria database describes LaPmGa4 after structural relaxation. The functional is PBE.

Properties
* energy relative to the elements: -0.70 eV/atom
* size of the total moment: 0.000 μB/cell

```
LaPmGa4
1.0
4.2943 0.0000 0.0000
-2.1472 3.7190 0.0000
0.0000 0.0000 8.7175
La Ga Pm
1 4 1
Cartesian
0.0000 0.0000 4.3587 La
2.1472 1.2397 6.5970 Ga
2.1472 1.2397 2.1205 Ga
0.0000 2.4793 2.1205 Ga
0.0000 2.4793 6.5970 Ga
0.0000 0.0000 0.0000 Pm
```